DFT (meta-GGA SCAN) results for a crystal of TaFeSb4 relaxed with PBEsol.

Geometry as POSCAR:
```
TaFeSb4
1.0
0.000 4.162 4.162
4.162 0.000 4.162
4.162 4.162 0.000
Ta Fe Sb
1 1 4
Direct
0.000 0.000 0.000
0.250 0.250 0.250
0.124 0.625 0.625
0.625 0.124 0.625
0.625 0.625 0.124
0.625 0.625 0.625
```

Results
Crystal system: cubic
SG: F-43m
Energy relative to the elements, uncorrected: 1.267 eV/atom